No. 1
The following is a DFT calculation (PBE) of a relaxed structure of SnPH2.

abc: 4.0410 4.0410 4.0410
angles: 60.00 60.00 60.00
Closest atoms and distances in Å follow each position.
Positions (direct):
H: 0.7500 0.7500 0.7500  4 Sn 2.47, 4 P 2.47
P: 0.0000 0.0000 0.0000  8 H 2.47
Sn: 0.5000 0.5000 0.5000  8 H 2.47
H: 0.2500 0.2500 0.2500  4 Sn 2.47, 4 P 2.47

Calculated values
The space group is No. 225. Its total moment is 0.00 μB/cell. As for the energy above the most stable polymorph in this dataset: 1.33 eV/f.u.

---

No. 2
The following is a DFT calculation (PBE) of a relaxed structure of TlFeAg2.

abc: 4.9003 4.9003 5.4141
angles: 81.69 81.69 35.30
Closest atoms and distances in Å follow each position.
Positions (direct):
Fe: 0.4966 0.4966 0.5133  5 Ag 2.83-2.93, 3 Tl 2.87-2.91, 2 Fe 2.97
Ag: 0.7545 0.7545 0.7438  5 Ag 2.81-2.97, 3 Fe 2.83-2.88, 2 Tl 3.00
Ag: 0.0035 0.0035 0.9775  5 Ag 2.81-2.97, 2 Fe 2.93, 3 Tl 2.93-3.05
Tl: 0.2454 0.2454 0.2654  3 Fe 2.87-2.91, 7 Ag 2.93-3.18, 2 Tl 2.97

Calculated values
The space group is No. 8. Its total moment is 2.72 μB/cell. As for the energy above the most stable polymorph in this dataset: 0.24 eV/f.u. The energy relative to the elements comes out at 0.430 eV/atom.

---

No. 3
The following is a DFT calculation (PBE) of a relaxed structure of Cu3Br.

abc: 3.8798 3.8798 3.9954
angles: 90.00 90.00 90.09
Closest atoms and distances in Å follow each position.
Positions (direct):
Cu: 0.0000 0.5000 0.5000  8 Cu 2.74-2.78, 4 Br 2.78
Cu: 0.5000 0.0000 0.5000  8 Cu 2.74-2.78, 4 Br 2.78
Cu: 0.5000 0.5000 0.0000  4 Br 2.74-2.75, 8 Cu 2.78
Br: 0.0000 0.0000 0.0000  12 Cu 2.74-2.78

Calculated values
The space group is No. 65. The value obtained for the formation energy without anion corrections is 416.6 meV/atom. Its total moment is 0.00 μB/cell. As for the energy above the most stable polymorph in this dataset: 1.26 eV/f.u.

---

No. 4
The following is a DFT calculation (PBE) of a relaxed structure of TlZnCd2H.

abc: 5.5690 5.5690 3.4387
angles: 90.00 90.00 90.00
Closest atoms and distances in Å follow each position.
Positions (direct):
Cd: 0.5000 0.0000 0.0000  2 Zn 2.78
Zn: 0.0000 0.0000 0.0000  2 H 1.72
H: 0.0000 0.0000 0.5000  2 Zn 1.72
Tl: 0.5000 0.5000 0.5000  8 Cd 3.27, 2 Tl 3.44
Cd: 0.0000 0.5000 0.0000  2 Zn 2.78

Calculated values
The space group is No. 123. Its total moment is 0.00 μB/cell. As for the energy: -0.1135 Ry per atom.

---

No. 5
The following is a DFT calculation (PBE) of a relaxed structure of Ba3Ga4Pt4.

abc: 6.9969 6.9969 6.9969
angles: 109.47 109.47 109.47
Closest atoms and distances in Å follow each position.
Positions (direct):
Ga: 0.3765 0.3765 0.3765  4 Pt 2.50-2.67
Ba: 0.0000 0.5000 0.5000  4 Ga 3.31, 4 Pt 3.33
Pt: 0.2659 0.0000 0.0000  4 Ga 2.50-2.67
Ga: 0.0000 0.6235 0.0000  4 Pt 2.50-2.67
Pt: 0.7341 0.7341 0.7341  4 Ga 2.50-2.67
Ga: 0.6235 0.0000 0.0000  4 Pt 2.50-2.67
Ba: 0.5000 0.5000 0.0000  4 Ga 3.31, 4 Pt 3.33
Ba: 0.5000 0.0000 0.5000  4 Ga 3.31, 4 Pt 3.33
Ga: 0.0000 0.0000 0.6235  4 Pt 2.50-2.67
Pt: 0.0000 0.2659 0.0000  4 Ga 2.50-2.67
Pt: 0.0000 0.0000 0.2659  4 Ga 2.50-2.67

Calculated values
The space group is No. 217. Its total moment is 0.00 μB/cell. As for the energy above the most stable polymorph in this dataset: 0.14 eV/f.u. The energy relative to the elements comes out at -0.739 eV/atom.

---

No. 6
The following is a DFT calculation (PBE) of a relaxed structure of NdSmMg2.

abc: 3.8744 5.4651 5.4651
angles: 90.00 90.00 90.00
Closest atoms and distances in Å follow each position.
Positions (direct):
Nd: 0.5000 0.0000 0.0000  8 Mg 3.35
Sm: 0.5000 0.5000 0.5000  8 Mg 3.35
Mg: 0.0000 0.5000 0.0000  4 Sm 3.35, 4 Nd 3.35
Mg: 0.0000 0.0000 0.5000  4 Sm 3.35, 4 Nd 3.35

Calculated values
The space group is No. 123. Its total moment is 0.00 μB/cell. As for the energy above the most stable polymorph in this dataset: 0.02 eV/f.u. The energy relative to the elements comes out at -0.108 eV/atom.

---

No. 7
The following is a DFT calculation (PBE) of a relaxed structure of SmDy8Y6.

abc: 9.0512 9.0512 8.6284
angles: 58.37 58.37 60.00
Closest atoms and distances in Å follow each position.
Positions (direct):
Dy: 0.7192 0.1109 0.4240  3 Y 3.40-3.76, 5 Dy 3.41-3.43, 1 Sm 3.52
Dy: 0.5763 0.5763 0.2712  4 Dy 3.14-3.42, 3 Y 3.37
Y: 0.8944 0.7658 0.8783  4 Dy 3.37-3.76, 1 Sm 3.45, 4 Y 3.49-3.74
Dy: 0.8891 0.2542 0.5760  3 Y 3.40-3.76, 5 Dy 3.41-3.43, 1 Sm 3.52
Dy: 0.7458 0.7192 0.4240  3 Y 3.40-3.76, 5 Dy 3.41-3.43, 1 Sm 3.52
Y: 0.7658 0.4614 0.8783  4 Dy 3.37-3.76, 1 Sm 3.45, 4 Y 3.49-3.74
Y: 0.2342 0.5386 0.1217  4 Dy 3.37-3.76, 1 Sm 3.45, 4 Y 3.49-3.74
Dy: 0.1109 0.7458 0.4240  3 Y 3.40-3.76, 5 Dy 3.41-3.43, 1 Sm 3.52
Dy: 0.2542 0.2808 0.5760  3 Y 3.40-3.76, 5 Dy 3.41-3.43, 1 Sm 3.52
Y: 0.4614 0.8944 0.8783  4 Dy 3.37-3.76, 1 Sm 3.45, 4 Y 3.49-3.74
Y: 0.5386 0.1056 0.1217  4 Dy 3.37-3.76, 1 Sm 3.45, 4 Y 3.49-3.74
Sm: 0.0000 0.0000 0.0000  6 Y 3.45, 6 Dy 3.52
Dy: 0.2808 0.8891 0.5760  3 Y 3.40-3.76, 5 Dy 3.41-3.43, 1 Sm 3.52
Y: 0.1056 0.2342 0.1217  4 Dy 3.37-3.76, 1 Sm 3.45, 4 Y 3.49-3.74
Dy: 0.4237 0.4237 0.7288  4 Dy 3.14-3.42, 3 Y 3.37

Calculated values
The space group is No. 148. Its total moment is 0.00 μB/cell. The energy relative to the elements comes out at 0.124 eV/atom.

---

No. 8
The following is a DFT calculation (PBE) of a relaxed structure of ScZn2Br.

abc: 6.3503 5.2949 3.3855
angles: 89.88 58.03 115.49
Closest atoms and distances in Å follow each position.
Positions (direct):
Zn: 0.5000 0.0000 0.5000  2 Zn 2.69
Zn: 0.0000 0.0000 0.0000  2 Zn 2.69
Br: 0.0000 0.5000 0.5000  2 Sc 2.69
Sc: 0.5000 0.5000 0.0000  2 Br 2.69

Calculated values
The space group is No. 12. The value obtained for the formation energy without anion corrections is -226.9 meV/atom. Its total moment is 0.00 μB/cell. As for the energy above the most stable polymorph in this dataset: 0.67 eV/f.u.

---

Going through the records in order, we get V values of 47; 74; 60; 107; 264; 116; 487; 83 Å³ per cell.
Going through the records in order, we get Fermi-level density of states values of 1.97; 2.80; 1.08; 2.11; 7.58; 4.34; 23.68; 2.77 states/eV/cell.